Material: KSrCI2
Method: DFT, PBE-GGA
State: relaxed

a b c (Å): 6.149 4.779 6.149
angles (deg): 90.00 90.00 90.00
Element x y z (fractional)
1 I 0.000 0.000 0.500
2 I 0.500 0.000 0.000
3 Sr 0.000 0.500 0.000
4 K 0.500 0.500 0.500
5 C 0.000 0.000 0.000

E_form (uncorrected): 0.132 eV/atom
DOS(E_F): 2.4 states/eV per cell
V: 36.14 Å³ per atom